This record from Alexandria describes an optimized crystal structure of Ti6Sn2HO. The functional is PBE.

abc: 5.9124 5.9124 5.9124
angles: 119.76 119.76 90.42
Last column: nearest neighbours and their distance in Å.
Fractional coordinates of all 10 atoms:
Ti (0.2451, 0.2451, 0.0000)  1 H 2.04, 1 O 2.12
Ti (0.2453, 0.2453, 0.4906)  1 H 2.06, 1 O 2.14
Ti (0.2453, 0.7547, 0.0000)  1 H 2.06, 1 O 2.14
Ti (0.7547, 0.2453, 0.0000)  1 H 2.06, 1 O 2.14
Ti (0.7549, 0.7549, 0.0000)  1 H 2.04, 1 O 2.12
Ti (0.7547, 0.7547, 0.5094)  1 H 2.06, 1 O 2.14
Sn (0.2500, 0.7500, 0.5000)  12 Ti 2.96-2.97
Sn (0.7500, 0.2500, 0.5000)  12 Ti 2.96-2.97
H (0.0000, 0.0000, 0.0000)  6 Ti 2.04-2.06
O (0.5000, 0.5000, 0.0000)  6 Ti 2.12-2.14

Values from the calculation:
**SG**: I4/mmm, No. 139
**E_tot**: -71.78 eV for the cell shown

=====

This record from Alexandria describes an optimized crystal structure of Y2CrPt. The functional is PBE.

abc: 4.2950 4.2950 18.8946
angles: 90.00 90.00 120.00
Last column: nearest neighbours and their distance in Å.
Fractional coordinates of all 12 atoms:
Y (0.0000, 0.0000, 0.0000)  3 Pt 2.98, 3 Cr 3.08
Y (0.0000, 0.0000, 0.1887)  3 Cr 3.03, 3 Pt 3.13
Y (0.3333, 0.6667, 0.6667)  3 Pt 2.98, 3 Cr 3.08
Y (0.3333, 0.6667, 0.8553)  3 Cr 3.03, 3 Pt 3.13
Y (0.6667, 0.3333, 0.3333)  3 Pt 2.98, 3 Cr 3.08
Y (0.6667, 0.3333, 0.5220)  3 Cr 3.03, 3 Pt 3.13
Cr (0.0000, 0.0000, 0.7636)  3 Pt 2.49
Cr (0.3333, 0.6667, 0.4303)  3 Pt 2.49
Cr (0.6667, 0.3333, 0.0970)  3 Pt 2.49
Pt (0.0000, 0.0000, 0.4210)  3 Cr 2.49
Pt (0.3333, 0.6667, 0.0877)  3 Cr 2.49
Pt (0.6667, 0.3333, 0.7544)  3 Cr 2.49

Values from the calculation:
**SG**: R3m, No. 160
**E_tot**: -89.22 eV for the cell shown
**Calculated formation energy**: -1.15 eV/f.u.

=====

This record from Alexandria describes an optimized crystal structure of CePrCdRu. The functional is PBE.

abc: 7.3245 7.3245 7.3245
angles: 90.00 90.00 90.00
Last column: nearest neighbours and their distance in Å.
Fractional coordinates of all 16 atoms:
Ce (0.0000, 0.0000, 0.0000)  4 Cd 3.17, 4 Ru 3.17
Ce (0.0000, 0.5000, 0.5000)  4 Cd 3.17, 4 Ru 3.17
Ce (0.5000, 0.0000, 0.5000)  4 Cd 3.17, 4 Ru 3.17
Ce (0.5000, 0.5000, 0.0000)  4 Cd 3.17, 4 Ru 3.17
Pr (0.0000, 0.0000, 0.5000)  4 Cd 3.17, 4 Ru 3.17
Pr (0.0000, 0.5000, 0.0000)  4 Cd 3.17, 4 Ru 3.17
Pr (0.5000, 0.0000, 0.0000)  4 Cd 3.17, 4 Ru 3.17
Pr (0.5000, 0.5000, 0.5000)  4 Cd 3.17, 4 Ru 3.17
Cd (0.2500, 0.2500, 0.7500)  4 Ce 3.17, 4 Pr 3.17
Cd (0.2500, 0.7500, 0.2500)  4 Ce 3.17, 4 Pr 3.17
Cd (0.7500, 0.2500, 0.2500)  4 Ce 3.17, 4 Pr 3.17
Cd (0.7500, 0.7500, 0.7500)  4 Pr 3.17, 4 Ce 3.17
Ru (0.2500, 0.2500, 0.2500)  4 Ce 3.17, 4 Pr 3.17
Ru (0.2500, 0.7500, 0.7500)  4 Ce 3.17, 4 Pr 3.17
Ru (0.7500, 0.2500, 0.7500)  4 Ce 3.17, 4 Pr 3.17
Ru (0.7500, 0.7500, 0.2500)  4 Ce 3.17, 4 Pr 3.17

Values from the calculation:
**SG**: F-43m, No. 216
**E_tot**: -85.42 eV for the cell shown
**Calculated formation energy**: -0.45 eV/f.u.

=====

This record from Alexandria describes an optimized crystal structure of Tb6C2Se3. The functional is PBE.

abc: 20.4005 20.4005 20.4005
angles: 10.68 10.68 10.68
Last column: nearest neighbours and their distance in Å.
Fractional coordinates of all 11 atoms:
Tb (0.0928, 0.0928, 0.0928)  3 C 2.60
Tb (0.1972, 0.1972, 0.1972)  3 C 2.52
Tb (0.3638, 0.3638, 0.3638)  6 Se 2.86-2.87
Tb (0.6362, 0.6362, 0.6362)  6 Se 2.86-2.87
Tb (0.8028, 0.8028, 0.8028)  3 C 2.52
Tb (0.9072, 0.9072, 0.9072)  3 C 2.60
C (0.4491, 0.4491, 0.4491)  6 Tb 2.52-2.60
C (0.5509, 0.5509, 0.5509)  6 Tb 2.52-2.60
Se (0.0000, 0.0000, 0.0000)  6 Tb 2.87
Se (0.2727, 0.2727, 0.2727)  6 Tb 2.86-2.94
Se (0.7273, 0.7273, 0.7273)  6 Tb 2.86-2.94

Values from the calculation:
**SG**: R-3m, No. 166
**E_tot**: -68.72 eV for the cell shown
**Energy relative to the elements, uncorrected**: -1095 meV/atom

=====

This record from Alexandria describes an optimized crystal structure of SmB4Pd3O12. The functional is PBE.

abc: 6.2556 6.2556 6.2556
angles: 102.95 102.95 102.95
Last column: nearest neighbours and their distance in Å.
Fractional coordinates of all 20 atoms:
Sm (0.0000, 0.0000, 0.0000)  6 O 2.39
B (0.0495, 0.5000, 0.9505)  3 O 1.37-1.41
B (0.5000, 0.5000, 0.5000)  3 O 1.38
B (0.5000, 0.9505, 0.0495)  3 O 1.37-1.41
B (0.9505, 0.0495, 0.5000)  3 O 1.37-1.41
Pd (0.0000, 0.5458, 0.4542)  6 O 2.11-2.13
Pd (0.4542, 0.0000, 0.5458)  6 O 2.11-2.13
Pd (0.5458, 0.4542, 0.0000)  6 O 2.11-2.13
O (0.0270, 0.6351, 0.8071)  1 B 1.37
O (0.0946, 0.9054, 0.5000)  1 B 1.41
O (0.1929, 0.3649, 0.9730)  1 B 1.37
O (0.3587, 0.6413, 0.5000)  1 B 1.38
O (0.3649, 0.9730, 0.1929)  1 B 1.37
O (0.5000, 0.0946, 0.9054)  1 B 1.41
O (0.5000, 0.3587, 0.6413)  1 B 1.38
O (0.6351, 0.8071, 0.0270)  1 B 1.37
O (0.6413, 0.5000, 0.3587)  1 B 1.38
O (0.8071, 0.0270, 0.6351)  1 B 1.37
O (0.9054, 0.5000, 0.0946)  1 B 1.41
O (0.9730, 0.1929, 0.3649)  1 B 1.37

Values from the calculation:
**SG**: R32, No. 155
**E_tot**: -140.08 eV for the cell shown
**Energy relative to the elements, uncorrected**: -1679 meV/atom

=====

This record from Alexandria describes an optimized crystal structure of Bi2SbO. The functional is PBE.

abc: 6.0351 6.0351 13.2818
angles: 90.00 90.00 90.00
Last column: nearest neighbours and their distance in Å.
Fractional coordinates of all 16 atoms:
Bi (0.1412, 0.2500, 0.1250)  2 O 2.40
Bi (0.2500, 0.6412, 0.3750)  2 O 2.40
Bi (0.2500, 0.8588, 0.8750)  2 O 2.40
Bi (0.3588, 0.2500, 0.6250)  2 O 2.40
Bi (0.6412, 0.7500, 0.6250)  2 O 2.40
Bi (0.7500, 0.1412, 0.8750)  2 O 2.40
Bi (0.7500, 0.3588, 0.3750)  2 O 2.40
Bi (0.8588, 0.7500, 0.1250)  2 O 2.40
Sb (0.0000, 0.0000, 0.5000)  4 Bi 3.12
Sb (0.0000, 0.5000, 0.7500)  4 Bi 3.12
Sb (0.5000, 0.0000, 0.2500)  4 Bi 3.12
Sb (0.5000, 0.5000, 0.0000)  4 Bi 3.12
O (0.0000, 0.0000, 0.0000)  4 Bi 2.40
O (0.0000, 0.5000, 0.2500)  4 Bi 2.40
O (0.5000, 0.0000, 0.7500)  4 Bi 2.40
O (0.5000, 0.5000, 0.5000)  4 Bi 2.40

Values from the calculation:
**SG**: I-42d, No. 122
**E_tot**: -71.01 eV for the cell shown
**Energy relative to the elements, uncorrected**: -228 meV/atom